! LiAlNiF6 (PBE+U, relaxed); values from VASP
! E_tot   -5.14 eV per atom
&SYSTEM
  ibrav = 0, nat = 18, ntyp = 4
/
ATOMIC_SPECIES
Li 6.94 Li.upf
Al 26.98 Al.upf
Ni 58.69 Ni.upf
F 19.00 F.upf
ATOMIC_POSITIONS crystal
Li 0.0000 0.0000 0.0000
Li 0.5000 0.5000 0.5000
Al 0.0000 0.0000 0.3346
Al 0.5000 0.5000 0.8346
Ni 0.0000 0.0000 0.6713
Ni 0.5000 0.5000 0.1713
F 0.1885 0.1885 0.4878
F 0.1901 0.1901 0.1833
F 0.2173 0.2173 0.8339
F 0.2827 0.7173 0.3339
F 0.3099 0.6901 0.6833
F 0.3115 0.6885 0.9878
F 0.6885 0.3115 0.9878
F 0.6901 0.3099 0.6833
F 0.7173 0.2827 0.3339
F 0.7827 0.7827 0.8339
F 0.8099 0.8099 0.1833
F 0.8115 0.8115 0.4878
CELL_PARAMETERS angstrom
4.6043 0.0000 0.0000
0.0000 4.6043 0.0000
0.0000 0.0000 8.9189